Entry 1:
A relaxed structure of Y3PtAu. Source: Alexandria via LeMat-Bulk, functional PBE.

## Properties
symmetry	Pm-3m (221)
formation energy from the elements	-0.382	eV/atom
D(E_F)	9.29	states/eV/f.u.
electronic total energy	-6.124	eV/atom

Unit cell a=5.387 b=5.387 c=5.387 alpha=90.00 beta=90.00 gamma=90.00
Fractional positions:
1 Pt 0.000 0.000 0.000
2 Y 0.000 0.000 0.500
3 Au 0.500 0.500 0.500
4 Y 0.500 0.000 0.000
5 Y 0.000 0.500 0.000

=====

Entry 2:
A relaxed structure of Y2PtAu. Source: Alexandria via LeMat-Bulk, functional PBE.

## Properties
symmetry	Pmmm (47)
formation energy from the elements	-1.029	eV/atom
D(E_F)	2.88	states/eV/f.u.
electronic total energy	-6.591	eV/atom

Unit cell a=3.538 b=3.575 c=7.960 alpha=63.32 beta=90.00 gamma=90.00
Fractional positions:
1 Pt 0.500 0.750 0.750
2 Y 0.000 0.492 0.509
3 Au 0.500 0.250 0.250
4 Y 0.000 0.008 0.991

=====

Repeat the second record exactly.
A relaxed structure of Y2PtAu. Source: Alexandria via LeMat-Bulk, functional PBE.

## Properties
symmetry	Pmmm (47)
formation energy from the elements	-1.029	eV/atom
D(E_F)	2.88	states/eV/f.u.
electronic total energy	-6.591	eV/atom

Unit cell a=3.538 b=3.575 c=7.960 alpha=63.32 beta=90.00 gamma=90.00
Fractional positions:
1 Pt 0.500 0.750 0.750
2 Y 0.000 0.492 0.509
3 Au 0.500 0.250 0.250
4 Y 0.000 0.008 0.991

=====

- Which value of formation energy from the elements does entry 2 give?
  -1.029 eV/atom